HfBeSe2Br: optimized geometry, PBE.

Computed properties:
total energy: -22.4 eV/cell

The structure in CIF format:
```
data_HfBeSe2Br
_chemical_formula_sum 'Hf1 Be1 Se2 Br1'
_cell_length_a 4.728
_cell_length_b 4.728
_cell_length_c 4.427
_cell_angle_alpha 90.00
_cell_angle_beta 90.00
_cell_angle_gamma 90.00
_space_group_name_H-M_alt 'P 4/m m m'
_space_group_IT_number 123
_space_group_name_Hall '-P 4 2'
loop_
_atom_site_label
_atom_site_fract_x
_atom_site_fract_y
_atom_site_fract_z
Hf1 0.000 0.000 0.000
Be1 0.500 0.500 0.500
Se1 0.000 0.500 0.500
Br1 0.500 0.500 0.000
```